1.
Below is crystalline K4Ce3PaS8 at its relaxed geometry, with properties calculated at the GGA-PBE level.

Output
Space group: R-3m
E_form (uncorrected) in eV per atom: -1.708

abc: 8.8261 8.8261 8.8261
angles: 56.25 56.25 56.25
Element x y z (fractional)
K (0.0000, 0.0000, 0.0000)
K (0.0000, 0.5000, 0.5000)
K (0.5000, 0.0000, 0.5000)
K (0.5000, 0.5000, 0.0000)
Ce (0.0000, 0.0000, 0.5000)
Ce (0.0000, 0.5000, 0.0000)
Ce (0.5000, 0.0000, 0.0000)
Pa (0.5000, 0.5000, 0.5000)
S (0.2363, 0.2363, 0.2363)
S (0.2461, 0.7298, 0.7298)
S (0.2702, 0.2702, 0.7539)
S (0.2702, 0.7539, 0.2702)
S (0.7298, 0.2461, 0.7298)
S (0.7298, 0.7298, 0.2461)
S (0.7539, 0.2702, 0.2702)
S (0.7637, 0.7637, 0.7637)



2.
Below is crystalline KCePaS4 at its relaxed geometry, with properties calculated at the GGA-PBE level.

Output
Space group: Imma
E_form (uncorrected) in eV per atom: -1.679

abc: 8.5219 8.5219 8.5219
angles: 121.52 118.85 89.69
Element x y z (fractional)
K (0.3791, 0.1291, 0.2500)
K (0.6209, 0.8709, 0.7500)
Ce (0.0000, 0.5000, 0.5000)
Ce (0.5000, 0.5000, 0.0000)
Pa (0.0000, 0.0000, 0.5000)
Pa (0.0000, 0.5000, 0.0000)
S (0.1915, 0.7353, 0.4562)
S (0.2208, 0.2647, 0.9562)
S (0.2233, 0.2532, 0.5299)
S (0.2233, 0.6933, 0.9701)
S (0.7767, 0.3067, 0.0299)
S (0.7767, 0.7468, 0.4701)
S (0.7792, 0.7353, 0.0438)
S (0.8085, 0.2647, 0.5438)



3.
Below is crystalline K3Ce2PaS6 at its relaxed geometry, with properties calculated at the GGA-PBE level.

Output
Space group: C2/m
E_form (uncorrected) in eV per atom: -1.684

abc: 7.1741 7.1741 7.7946
angles: 98.84 98.84 119.99
Element x y z (fractional)
K (0.0000, 0.0000, 0.0000)
K (0.3314, 0.6686, 0.0000)
K (0.6686, 0.3314, 0.0000)
Ce (0.1665, 0.8335, 0.5000)
Ce (0.8335, 0.1665, 0.5000)
Pa (0.5000, 0.5000, 0.5000)
S (0.1091, 0.4310, 0.2930)
S (0.2474, 0.2474, 0.7069)
S (0.4310, 0.1091, 0.2930)
S (0.5690, 0.8909, 0.7070)
S (0.7526, 0.7526, 0.2931)
S (0.8909, 0.5690, 0.7070)



4.
Below is crystalline KCe2PaS5 at its relaxed geometry, with properties calculated at the GGA-PBE level.

Output
Space group: Immm
E_form (uncorrected) in eV per atom: -1.685

abc: 8.2359 8.2359 8.2359
angles: 144.13 128.16 64.64
Element x y z (fractional)
K (0.0000, 0.0000, 0.0000)
Ce (0.2966, 0.7966, 0.5000)
Ce (0.7034, 0.2034, 0.5000)
Pa (0.5000, 0.5000, 0.0000)
S (0.1126, 0.3501, 0.7625)
S (0.4123, 0.6499, 0.7625)
S (0.5000, 0.0000, 0.5000)
S (0.5877, 0.3501, 0.2375)
S (0.8874, 0.6499, 0.2375)



5.
Below is crystalline K4Ce3PaSe8 at its relaxed geometry, with properties calculated at the GGA-PBE level.

Output
Space group: C2/m
E_form (uncorrected) in eV per atom: -1.579

abc: 8.7002 8.7002 9.1934
angles: 118.28 118.28 59.92
Element x y z (fractional)
K (0.0000, 0.0000, 0.0000)
K (0.0000, 0.5000, 0.0000)
K (0.5000, 0.0000, 0.0000)
K (0.5000, 0.5000, 0.0000)
Ce (0.0000, 0.0000, 0.5000)
Ce (0.0000, 0.5000, 0.5000)
Ce (0.5000, 0.0000, 0.5000)
Pa (0.5000, 0.5000, 0.5000)
Se (0.2375, 0.2375, 0.7122)
Se (0.2461, 0.7318, 0.7098)
Se (0.2681, 0.2681, 0.2903)
Se (0.2682, 0.7539, 0.2902)
Se (0.7318, 0.2461, 0.7098)
Se (0.7319, 0.7319, 0.7097)
Se (0.7539, 0.2682, 0.2902)
Se (0.7625, 0.7625, 0.2878)



6.
Below is crystalline K3Ce3PaSe8 at its relaxed geometry, with properties calculated at the GGA-PBE level.

Output
Space group: R-3m
E_form (uncorrected) in eV per atom: -1.628

abc: 9.2525 9.2525 9.2525
angles: 55.77 55.77 55.77
Element x y z (fractional)
K (0.0000, 0.5000, 0.5000)
K (0.5000, 0.0000, 0.5000)
K (0.5000, 0.5000, 0.0000)
Ce (0.0000, 0.0000, 0.5000)
Ce (0.0000, 0.5000, 0.0000)
Ce (0.5000, 0.0000, 0.0000)
Pa (0.5000, 0.5000, 0.5000)
Se (0.2365, 0.2365, 0.2365)
Se (0.2466, 0.7275, 0.7275)
Se (0.2725, 0.2725, 0.7534)
Se (0.2725, 0.7534, 0.2725)
Se (0.7275, 0.2466, 0.7275)
Se (0.7275, 0.7275, 0.2466)
Se (0.7534, 0.2725, 0.2725)
Se (0.7635, 0.7635, 0.7635)



7.
Below is crystalline K2CePa2Se6 at its relaxed geometry, with properties calculated at the GGA-PBE level.

Output
Space group: C2/m
E_form (uncorrected) in eV per atom: -1.473

abc: 7.3095 7.3095 8.2659
angles: 98.25 98.25 120.23
Element x y z (fractional)
K (0.1648, 0.8352, 0.0000)
K (0.8352, 0.1648, 0.0000)
Ce (0.0000, 0.0000, 0.5000)
Pa (0.3352, 0.6648, 0.5000)
Pa (0.6648, 0.3352, 0.5000)
Se (0.0645, 0.4102, 0.7037)
Se (0.2754, 0.2754, 0.2929)
Se (0.4102, 0.0645, 0.7037)
Se (0.5898, 0.9355, 0.2963)
Se (0.7246, 0.7246, 0.7071)
Se (0.9355, 0.5898, 0.2963)



8.
Below is crystalline K2CePaSe4 at its relaxed geometry, with properties calculated at the GGA-PBE level.

Output
Space group: P2/m
E_form (uncorrected) in eV per atom: -1.495

abc: 7.4219 4.2551 8.1603
angles: 90.00 107.40 90.00
Element x y z (fractional)
K (0.0000, 0.0000, 0.0000)
K (0.5000, 0.5000, 0.0000)
Ce (0.0000, 0.5000, 0.5000)
Pa (0.5000, 0.0000, 0.5000)
Se (0.2462, 0.0000, 0.7120)
Se (0.2707, 0.5000, 0.2900)
Se (0.7293, 0.5000, 0.7100)
Se (0.7538, 0.0000, 0.2880)



9.
Below is crystalline K3CePa3Se8 at its relaxed geometry, with properties calculated at the GGA-PBE level.

Output
Space group: R-3m
E_form (uncorrected) in eV per atom: -1.427

abc: 9.2549 9.2549 9.2549
angles: 53.78 53.78 53.78
Element x y z (fractional)
K (0.0000, 0.5000, 0.5000)
K (0.5000, 0.0000, 0.5000)
K (0.5000, 0.5000, 0.0000)
Ce (0.5000, 0.5000, 0.5000)
Pa (0.0000, 0.0000, 0.5000)
Pa (0.0000, 0.5000, 0.0000)
Pa (0.5000, 0.0000, 0.0000)
Se (0.2265, 0.7407, 0.7407)
Se (0.2367, 0.2367, 0.2367)
Se (0.2593, 0.2593, 0.7735)
Se (0.2593, 0.7735, 0.2593)
Se (0.7407, 0.2265, 0.7407)
Se (0.7407, 0.7407, 0.2265)
Se (0.7633, 0.7633, 0.7633)
Se (0.7735, 0.2593, 0.2593)



10.
Below is crystalline K3Ce2PaTe6 at its relaxed geometry, with properties calculated at the GGA-PBE level.

Output
Space group: C2/m
E_form (uncorrected) in eV per atom: -1.198

abc: 7.9438 7.9438 8.7105
angles: 98.75 98.75 120.00
Element x y z (fractional)
K (0.0000, 0.0000, 0.0000)
K (0.3309, 0.6691, 0.0000)
K (0.6691, 0.3309, 0.0000)
Ce (0.1664, 0.8336, 0.5000)
Ce (0.8336, 0.1664, 0.5000)
Pa (0.5000, 0.5000, 0.5000)
Te (0.1035, 0.4286, 0.2855)
Te (0.2471, 0.2471, 0.7150)
Te (0.4286, 0.1035, 0.2855)
Te (0.5714, 0.8965, 0.7145)
Te (0.7529, 0.7529, 0.2850)
Te (0.8965, 0.5714, 0.7145)



11.
Below is crystalline K2CePaTe4 at its relaxed geometry, with properties calculated at the GGA-PBE level.

Output
Space group: P2/m
E_form (uncorrected) in eV per atom: -1.125

abc: 7.8888 4.5184 8.7437
angles: 90.00 107.23 90.00
Element x y z (fractional)
K (0.0000, 0.0000, 0.0000)
K (0.5000, 0.5000, 0.0000)
Ce (0.0000, 0.5000, 0.5000)
Pa (0.5000, 0.0000, 0.5000)
Te (0.2461, 0.0000, 0.7160)
Te (0.2683, 0.5000, 0.2861)
Te (0.7317, 0.5000, 0.7139)
Te (0.7539, 0.0000, 0.2840)



12.
Below is crystalline K4Ce3PaTe8 at its relaxed geometry, with properties calculated at the GGA-PBE level.

Output
Space group: C2/m
E_form (uncorrected) in eV per atom: -1.225

abc: 9.2617 9.2617 9.8327
angles: 118.14 118.14 59.91
Element x y z (fractional)
K (0.0000, 0.0000, 0.0000)
K (0.0000, 0.5000, 0.0000)
K (0.5000, 0.0000, 0.0000)
K (0.5000, 0.5000, 0.0000)
Ce (0.0000, 0.0000, 0.5000)
Ce (0.0000, 0.5000, 0.5000)
Ce (0.5000, 0.0000, 0.5000)
Pa (0.5000, 0.5000, 0.5000)
Te (0.2388, 0.2388, 0.7164)
Te (0.2457, 0.7343, 0.7139)
Te (0.2660, 0.2660, 0.2861)
Te (0.2657, 0.7543, 0.2861)
Te (0.7343, 0.2457, 0.7139)
Te (0.7340, 0.7340, 0.7139)
Te (0.7543, 0.2657, 0.2861)
Te (0.7612, 0.7612, 0.2836)



13.
Below is crystalline KCePb2 at its relaxed geometry, with properties calculated at the GGA-PBE level.

Output
Space group: P4/mmm
Offset from the most stable computed form in eV/atom: 0.000
ΔE_f in meV/atom: -268

abc: 3.5856 3.5856 10.1775
angles: 90.00 90.00 90.00
Element x y z (fractional)
K (0.0000, 0.0000, 0.0000)
Ce (0.0000, 0.0000, 0.5000)
Pb (0.5000, 0.5000, 0.2702)
Pb (0.5000, 0.5000, 0.7298)



14.
Below is crystalline KCePb2 at its relaxed geometry, with properties calculated at the GGA-PBE level.

Output
Space group: R-3m
Offset from the most stable computed form in eV/atom: 0.153
ΔE_f in meV/atom: -115

abc: 11.7838 11.7838 11.7838
angles: 17.55 17.55 17.55
Element x y z (fractional)
K (0.0000, 0.0000, 0.0000)
Ce (0.5000, 0.5000, 0.5000)
Pb (0.2464, 0.2464, 0.2464)
Pb (0.7536, 0.7536, 0.7536)



15.
Below is crystalline KCePb at its relaxed geometry, with properties calculated at the GGA-PBE level.

Output
Space group: R-3m
ΔE_f in meV/atom: -22

abc: 14.8485 14.8485 14.8485
angles: 16.89 16.89 16.89
Element x y z (fractional)
K (0.1197, 0.1197, 0.1197)
K (0.8803, 0.8803, 0.8803)
Ce (0.3193, 0.3193, 0.3193)
Ce (0.6807, 0.6807, 0.6807)
Pb (0.3954, 0.3954, 0.3954)
Pb (0.6046, 0.6046, 0.6046)



16.
Below is crystalline KCePb2 at its relaxed geometry, with properties calculated at the GGA-PBE level.

Output
Space group: P4/mmm
Offset from the most stable computed form in eV/atom: 0.078
ΔE_f in meV/atom: -189

abc: 6.1393 6.1393 3.4126
angles: 90.00 90.00 90.00
Element x y z (fractional)
K (0.0000, 0.0000, 0.0000)
Ce (0.5000, 0.5000, 0.0000)
Pb (0.0000, 0.5000, 0.5000)
Pb (0.5000, 0.0000, 0.5000)



17.
Below is crystalline KCePb2 at its relaxed geometry, with properties calculated at the GGA-PBE level.

Output
Space group: Fm-3m
Offset from the most stable computed form in eV/atom: 0.150
ΔE_f in meV/atom: -118

abc: 5.7035 5.7035 5.7035
angles: 60.00 60.00 60.00
Element x y z (fractional)
K (0.0000, 0.0000, 0.0000)
Ce (0.5000, 0.5000, 0.5000)
Pb (0.2500, 0.2500, 0.2500)
Pb (0.7500, 0.7500, 0.7500)



18.
Below is crystalline KCePb4 at its relaxed geometry, with properties calculated at the GGA-PBE level.

Output
Space group: F-43m
ΔE_f in meV/atom: -131

abc: 6.5887 6.5887 6.5887
angles: 60.00 60.00 60.00
Element x y z (fractional)
K (0.0000, 0.0000, 0.0000)
Ce (0.2500, 0.2500, 0.2500)
Pb (0.1288, 0.6237, 0.6237)
Pb (0.6237, 0.1288, 0.6237)
Pb (0.6237, 0.6237, 0.1288)
Pb (0.6237, 0.6237, 0.6237)



19.
Below is crystalline KCePb2S4 at its relaxed geometry, with properties calculated at the GGA-PBE level.

Output
Space group: I-4m2
E_form (uncorrected) in eV per atom: -1.087

abc: 7.3653 7.3653 7.3653
angles: 131.89 131.89 70.40
Element x y z (fractional)
K (0.0000, 0.0000, 0.0000)
Ce (0.2500, 0.7500, 0.5000)
Pb (0.5000, 0.5000, 0.0000)
Pb (0.7500, 0.2500, 0.5000)
S (0.0172, 0.5172, 0.5000)
S (0.2562, 0.2562, 0.0000)
S (0.4828, 0.9828, 0.5000)
S (0.7438, 0.7438, 0.0000)



20.
Below is crystalline K2Ce3PbS8 at its relaxed geometry, with properties calculated at the GGA-PBE level.

Output
Space group: R3m
E_form (uncorrected) in eV per atom: -1.472

abc: 8.8870 8.8870 8.8870
angles: 55.91 55.91 55.91
Element x y z (fractional)
K (0.0000, 0.0000, 0.0000)
K (0.3691, 0.3691, 0.3691)
Ce (0.3689, 0.3689, 0.8760)
Ce (0.3689, 0.8760, 0.3689)
Ce (0.8760, 0.3689, 0.3689)
Pb (0.7579, 0.7579, 0.7579)
S (0.1159, 0.1159, 0.5654)
S (0.1159, 0.5654, 0.1159)
S (0.1402, 0.1402, 0.1402)
S (0.1561, 0.6288, 0.6288)
S (0.5654, 0.1159, 0.1159)
S (0.5994, 0.5994, 0.5994)
S (0.6288, 0.1561, 0.6288)
S (0.6288, 0.6288, 0.1561)



21.
Below is crystalline K3Ce2PbS6 at its relaxed geometry, with properties calculated at the GGA-PBE level.

Output
Space group: C2/m
E_form (uncorrected) in eV per atom: -1.533

abc: 7.3232 7.3232 7.7187
angles: 99.13 99.13 119.97
Element x y z (fractional)
K (0.0000, 0.0000, 0.0000)
K (0.3393, 0.6607, 0.0000)
K (0.6607, 0.3393, 0.0000)
Ce (0.1672, 0.8328, 0.5000)
Ce (0.8328, 0.1672, 0.5000)
Pb (0.5000, 0.5000, 0.5000)
S (0.0769, 0.4307, 0.2931)
S (0.2154, 0.2154, 0.7061)
S (0.4307, 0.0769, 0.2931)
S (0.5693, 0.9231, 0.7069)
S (0.7846, 0.7846, 0.2939)
S (0.9231, 0.5693, 0.7069)



22.
Below is crystalline K2CePbS4 at its relaxed geometry, with properties calculated at the GGA-PBE level.

Output
Space group: P2/m
E_form (uncorrected) in eV per atom: -1.348

abc: 7.3600 4.2231 7.6835
angles: 90.00 108.09 90.00
Element x y z (fractional)
K (0.0000, 0.0000, 0.0000)
K (0.5000, 0.5000, 0.0000)
Ce (0.0000, 0.5000, 0.5000)
Pb (0.5000, 0.0000, 0.5000)
S (0.2161, 0.0000, 0.7032)
S (0.2369, 0.5000, 0.2918)
S (0.7631, 0.5000, 0.7082)
S (0.7839, 0.0000, 0.2968)



E: -5.752 -6.399 -5.802 -6.473 -5.302 -5.526 -5.840 -5.441 -5.800 -4.824 -4.899 -4.777 -3.880 -3.727 -3.602 -3.801 -3.730 -3.775 -4.957 -5.523 -5.169 -4.891 (eV per atom)